(1)
Below is a relaxed Ca2PrTmTl4 crystal, with properties calculated at the PBE-GGA level.

abc: 9.504 9.504 9.504
angles: 33.42 33.42 33.42
Element x y z (fractional)
Ca 0.249 0.249 0.249
Ca 0.751 0.751 0.751
Pr 0.000 0.000 0.000
Tm 0.500 0.500 0.500
Tl 0.127 0.127 0.127
Tl 0.378 0.378 0.378
Tl 0.622 0.622 0.622
Tl 0.873 0.873 0.873

Calculated values
symmetry = R-3m, No. 166
energy = -3.21 eV/atom

---

(2)
Below is a relaxed CaPrTmTl crystal, with properties calculated at the PBE-GGA level.

abc: 5.573 5.573 5.573
angles: 60.00 60.00 60.00
Element x y z (fractional)
Ca 0.000 0.000 0.000
Pr 0.250 0.250 0.250
Tm 0.750 0.750 0.750
Tl 0.500 0.500 0.500

Calculated values
symmetry = F-43m, No. 216
energy = -3.46 eV/atom

---

(3)
Below is a relaxed Ca2PrYTl4 crystal, with properties calculated at the PBE-GGA level.

abc: 9.513 9.513 9.513
angles: 33.50 33.50 33.50
Element x y z (fractional)
Ca 0.249 0.249 0.249
Ca 0.751 0.751 0.751
Pr 0.000 0.000 0.000
Y 0.500 0.500 0.500
Tl 0.126 0.126 0.126
Tl 0.377 0.377 0.377
Tl 0.623 0.623 0.623
Tl 0.874 0.874 0.874

Calculated values
symmetry = R-3m, No. 166
energy = -3.48 eV/atom

---

(4)
Below is a relaxed CaPrTm crystal, with properties calculated at the PBE-GGA level.

abc: 4.887 4.887 9.112
angles: 90.00 90.00 90.00
Element x y z (fractional)
Ca 0.250 0.750 0.000
Ca 0.750 0.250 0.000
Pr 0.250 0.250 0.325
Pr 0.750 0.750 0.675
Tm 0.250 0.250 0.691
Tm 0.750 0.750 0.309

Calculated values
symmetry = P4/nmm, No. 129
ΔE to the lowest computed polymorph = 319.6 meV per atom

---

Number 1: total magnetization 0.0 μB/f.u., DOS at the Fermi energy 7.2 states/eV per cell, calculated density 8.65 g cm⁻³. Number 2: total magnetization 0.0 μB/f.u., DOS at the Fermi energy 3.5 states/eV per cell, calculated density 7.52 g cm⁻³. Number 3: total magnetization 0.0 μB/f.u., DOS at the Fermi energy 7.6 states/eV per cell, calculated density 8.02 g cm⁻³. Number 4: total magnetization 0.0 μB/f.u., DOS at the Fermi energy 11.3 states/eV per cell, calculated density 5.34 g cm⁻³.